Record 1
Here is an optimized crystal structure of TaNi3Ge from Alexandria. Energies are from PBE.

The structure in POSCAR format:
```
TaNi3Ge
1.0
4.496 0.000 0.000
0.000 6.789 -0.434
0.000 -3.460 5.857
Ni Ge Ta
6 2 2
Direct
0.500 0.000 0.000 Ni
0.250 0.393 0.231 Ni
0.000 0.000 0.000 Ni
0.750 0.607 0.769 Ni
0.750 0.231 0.393 Ni
0.250 0.769 0.607 Ni
0.250 0.183 0.817 Ge
0.750 0.817 0.183 Ge
0.750 0.598 0.402 Ta
0.250 0.402 0.598 Ta
```

Output
energy of formation from the pure elements: 1.49 eV/f.u.
SG: No. 63
calculated total energy: -64.65 eV for the cell shown
crystal system: orthorhombic
volume: 172.02 Å³/cell

Record 2
Here is an optimized crystal structure of Ta2Ni9Ge from Alexandria. Energies are from PBE.

The structure in POSCAR format:
```
Ta2Ni9Ge
1.0
3.653 0.000 0.000
0.000 3.653 0.000
0.000 0.000 10.905
Ge Ni Ta
1 9 2
Direct
0.000 0.000 0.000 Ge
0.000 0.500 0.500 Ni
0.500 0.000 0.836 Ni
0.500 0.500 0.000 Ni
0.500 0.500 0.667 Ni
0.500 0.500 0.333 Ni
0.500 0.000 0.500 Ni
0.500 0.000 0.164 Ni
0.000 0.500 0.164 Ni
0.000 0.500 0.836 Ni
0.000 0.000 0.327 Ta
0.000 0.000 0.673 Ta
```

Output
energy of formation from the pure elements: -3.44 eV/f.u.
SG: No. 123
calculated total energy: -83.80 eV for the cell shown
crystal system: tetragonal
volume: 145.52 Å³/cell

Record 3
Here is an optimized crystal structure of Ta3NiGe2 from Alexandria. Energies are from PBE.

The structure in POSCAR format:
```
Ta3NiGe2
1.0
-3.982 -0.217 -0.466
-0.152 -7.793 4.935
-1.309 5.487 8.625
Ta Ni Ge
12 4 8
Direct
0.750 0.606 0.657 Ta
0.250 0.372 0.045 Ta
0.750 0.894 0.157 Ta
0.750 0.310 0.774 Ta
0.250 0.106 0.843 Ta
0.250 0.690 0.226 Ta
0.750 0.190 0.274 Ta
0.750 0.628 0.955 Ta
0.750 0.872 0.455 Ta
0.250 0.128 0.545 Ta
0.250 0.810 0.726 Ta
0.250 0.394 0.343 Ta
0.750 0.922 0.898 Ni
0.250 0.078 0.102 Ni
0.750 0.578 0.398 Ni
0.250 0.422 0.602 Ni
0.250 0.827 0.989 Ge
0.250 0.985 0.319 Ge
0.750 0.173 0.011 Ge
0.750 0.485 0.181 Ge
0.750 0.015 0.681 Ge
0.250 0.515 0.819 Ge
0.250 0.673 0.489 Ge
0.750 0.327 0.511 Ge
```

Output
energy of formation from the pure elements: -1.62 eV/f.u.
SG: No. 62
calculated total energy: -208.78 eV for the cell shown
crystal system: orthorhombic
volume: 381.69 Å³/cell

Q: Look up the energy of formation from the pure elements of the second one.
A: -3.44 eV/f.u.